The following is a DFT calculation (GGA-PBE) of a relaxed structure of CaTlHg2.

Calculated values
DFT formation energy = -0.223 eV per atom
Fermi-level density of states = 0.426 states/eV/atom

```
data_CaTlHg2
_space_group_name_H-M_alt 'R -3 m'
_space_group_IT_number 166
_space_group_name_Hall '-R 3 2"'
_cell_length_a 3.8814
_cell_length_b 3.8814
_cell_length_c 27.1489
_cell_angle_alpha 90.00
_cell_angle_beta 90.00
_cell_angle_gamma 120.00
loop_
_atom_site_label
_atom_site_type_symbol
_atom_site_fract_x
_atom_site_fract_y
_atom_site_fract_z
Ca1 Ca 0.0000 0.0000 0.0000
Tl1 Tl 0.0000 0.0000 0.5000
Hg1 Hg 0.0000 0.0000 0.2508
```